#1
18
Lattice="10.160 -3.160 0.000 10.160 3.160 0.000 -6.261 0.000 9.886" Properties=species:S:1:pos:R:3 comment="Pr5SmEr3, optimized geometry, DFT PBE" volume_a3_per_cell=635 crystal_system=monoclinic pbc="T T T"
Pr 5.170 2.035 3.366
Pr 5.464 2.542 7.414
Pr 2.336 1.149 6.593
Pr 12.019 2.035 1.576
Pr 8.592 1.149 8.235
Pr 5.467 -1.149 1.650
Pr 2.040 -2.035 8.309
Pr 11.722 -1.149 3.292
Pr 8.595 -2.542 2.471
Pr 8.889 -2.035 6.519
Sm 8.595 0.715 2.471
Sm 5.464 -0.715 7.414
Er 0.493 1.422 9.624
Er 10.435 1.422 5.205
Er 10.160 0.000 0.000
Er 7.029 0.000 4.943
Er 3.624 -1.422 4.681
Er 13.566 -1.422 0.262

#2
18
Lattice="-4.034 4.034 9.714 4.034 -4.034 9.714 4.034 4.034 -9.714" Properties=species:S:1:pos:R:3 comment="Pr5SmEr3, optimized geometry, DFT PBE" volume_a3_per_cell=632 crystal_system=tetragonal pbc="T T T"
Pr 0.000 0.000 0.000
Pr 5.687 1.653 -2.586
Pr 1.653 2.382 -2.586
Pr 5.687 1.653 2.586
Pr 1.653 2.382 2.586
Pr 0.000 0.000 9.714
Pr 2.382 1.653 7.128
Pr -1.653 2.382 7.128
Pr 2.382 1.653 12.300
Pr -1.653 2.382 12.300
Sm 4.034 0.000 4.857
Sm 0.000 4.034 4.857
Er 2.996 1.038 0.000
Er 0.000 0.000 4.857
Er 2.996 -1.038 9.714
Er 1.038 5.073 0.000
Er 0.000 0.000 14.571
Er 1.038 2.996 9.714

Which one sits at the bottom of the stability order? #2 does.

#1
12
Lattice="6.400 0.000 0.000 -0.002 7.389 0.000 -2.133 -0.001 8.890" Properties=species:S:1:pos:R:3 comment="Pr7Sm4Er, optimized geometry, DFT PBE" volume_a3_per_cell=420 crystal_system=triclinic pbc="T T T"
Pr 0.000 0.000 0.000
Pr -0.005 3.693 5.927
Pr 1.071 5.546 2.945
Pr 3.194 1.851 0.008
Pr 1.071 5.537 8.882
Pr 3.194 1.843 5.946
Pr 4.271 3.695 2.963
Sm 0.003 7.386 5.922
Sm 1.067 1.846 2.935
Sm 3.198 5.542 5.955
Sm 4.262 0.003 2.968
Er -0.001 3.695 0.000

#2
12
Lattice="8.223 -3.052 0.000 8.223 3.052 0.000 -4.139 0.000 8.520" Properties=species:S:1:pos:R:3 comment="Pr7Sm4Er, optimized geometry, DFT PBE" volume_a3_per_cell=428 crystal_system=monoclinic pbc="T T T"
Pr 0.000 0.000 0.000
Pr 1.594 0.000 6.601
Pr 4.304 0.000 1.057
Pr 4.548 0.000 4.790
Pr 7.759 0.000 3.730
Pr 8.003 0.000 7.463
Pr 10.713 0.000 1.919
Sm -1.696 0.000 5.947
Sm 1.235 0.000 3.314
Sm 11.072 0.000 5.206
Sm 14.003 0.000 2.573
Er 8.223 0.000 0.000

Which one sits at the bottom of the stability order? #2 does.

#1
11
Lattice="-3.777 3.777 6.758 3.777 -3.777 6.758 3.777 3.777 -6.758" Properties=species:S:1:pos:R:3 comment="PrSm6Er4, optimized geometry, DFT PBE" volume_a3_per_cell=386 crystal_system=tetragonal pbc="T T T"
Pr 0.000 0.000 0.000
Sm 3.777 0.000 0.000
Sm 2.023 -2.023 4.223
Sm 1.754 1.754 2.535
Sm 0.000 3.777 0.000
Sm -2.023 2.023 4.223
Sm 2.023 2.023 9.292
Er 2.560 2.560 -1.086
Er 1.217 -1.217 7.844
Er 1.217 1.217 5.672
Er -1.217 1.217 7.844

#2
22
Lattice="2.912 -4.833 0.000 2.912 4.833 0.000 0.000 0.000 25.816" Properties=species:S:1:pos:R:3 comment="PrSm6Er4, optimized geometry, DFT PBE" volume_a3_per_cell=727 crystal_system=orthorhombic pbc="T T T"
Pr 2.912 2.812 19.362
Pr 2.912 -2.812 6.454
Sm 2.912 3.629 4.661
Sm 2.912 3.629 8.247
Sm 2.912 2.905 15.473
Sm 2.912 2.905 23.252
Sm 2.912 0.455 6.454
Sm 2.912 0.000 0.000
Sm 2.912 0.000 12.908
Sm 2.912 -0.455 19.362
Sm 2.912 -2.905 2.564
Sm 2.912 -2.905 10.344
Sm 2.912 -3.629 17.569
Sm 2.912 -3.629 21.155
Er 2.912 3.373 1.115
Er 2.912 3.373 11.793
Er 2.912 0.407 3.175
Er 2.912 0.407 9.734
Er 2.912 -0.407 16.083
Er 2.912 -0.407 22.642
Er 2.912 -3.373 14.024
Er 2.912 -3.373 24.701

Which one sits at the bottom of the stability order? #1 does.

#1
16
Lattice="8.173 -4.938 0.000 8.173 4.938 0.000 -0.820 0.000 6.397" Properties=species:S:1:pos:R:3 comment="PrSm2Er5, optimized geometry, DFT PBE" volume_a3_per_cell=516 crystal_system=monoclinic pbc="T T T"
Pr 4.087 2.469 0.000
Pr 3.676 -2.469 3.198
Sm 6.212 2.507 5.679
Sm 8.904 2.507 3.916
Sm 6.622 -2.507 2.480
Sm 9.314 -2.507 0.718
Er 1.091 0.893 4.097
Er 1.502 -0.893 0.898
Er 4.599 0.891 3.080
Er 4.189 -0.891 6.279
Er 7.968 0.554 1.599
Er 7.558 -0.554 4.798
Er 11.337 0.891 0.118
Er 10.927 -0.891 3.317
Er 14.024 0.893 5.499
Er 14.435 -0.893 2.300

#2
16
Lattice="7.126 0.000 0.000 0.000 14.263 0.000 0.000 0.000 5.028" Properties=species:S:1:pos:R:3 comment="PrSm2Er5, optimized geometry, DFT PBE" volume_a3_per_cell=511 crystal_system=orthorhombic pbc="T T T"
Pr 0.000 0.000 0.000
Pr 3.563 7.131 0.000
Sm 1.761 5.330 2.514
Sm 1.802 12.462 2.514
Sm 5.324 1.801 2.514
Sm 5.364 8.932 2.514
Er 0.000 7.131 0.000
Er 0.017 10.678 0.000
Er 1.774 1.794 2.514
Er 1.789 8.926 2.514
Er 3.546 3.547 0.000
Er 3.563 0.000 0.000
Er 3.579 10.716 0.000
Er 5.337 5.337 2.514
Er 5.352 12.468 2.514
Er 7.109 3.584 0.000

Which one sits at the bottom of the stability order? #1 does.

#1
9
Lattice="7.443 0.000 0.000 -3.721 6.445 0.000 0.000 0.000 6.051" Properties=species:S:1:pos:R:3 comment="PrSm2Er6, optimized geometry, DFT PBE" volume_a3_per_cell=290 crystal_system=trigonal pbc="T T T"
Pr 0.000 0.000 0.000
Sm 0.000 4.297 1.278
Sm 3.721 2.148 4.773
Er 0.000 2.414 4.242
Er -1.631 5.239 4.242
Er 2.090 1.207 1.809
Er 1.631 5.239 4.242
Er 5.352 1.207 1.809
Er 3.721 4.032 1.809

#2
9
Lattice="8.453 -4.883 0.000 8.453 4.883 0.000 -0.007 0.000 3.459" Properties=species:S:1:pos:R:3 comment="PrSm2Er6, optimized geometry, DFT PBE" volume_a3_per_cell=285 crystal_system=monoclinic pbc="T T T"
Pr 0.000 0.000 0.000
Sm 5.636 0.000 0.000
Sm 11.263 0.000 3.459
Er 2.823 1.631 1.728
Er 14.076 -1.631 1.730
Er 2.823 -1.631 1.728
Er 8.449 1.617 1.729
Er 14.076 1.631 1.730
Er 8.449 -1.617 1.729

Which one sits at the bottom of the stability order? #1 does.

#1
12
Lattice="11.429 0.000 0.000 -5.715 9.898 0.000 0.000 0.000 3.557" Properties=species:S:1:pos:R:3 comment="PrSm9Er2, optimized geometry, DFT PBE" volume_a3_per_cell=402 crystal_system=hexagonal pbc="T T T"
Pr 0.000 0.000 0.000
Sm -2.857 4.949 0.000
Sm 0.000 3.513 1.778
Sm -2.673 8.142 1.778
Sm 3.042 1.756 1.778
Sm 5.715 0.000 0.000
Sm 2.857 4.949 0.000
Sm 2.673 8.142 1.778
Sm 8.387 1.756 1.778
Sm 5.715 6.385 1.778
Er 0.000 6.599 0.000
Er 5.715 3.299 0.000

#2
12
Lattice="5.109 0.000 0.000 0.000 5.109 0.000 0.000 0.000 15.333" Properties=species:S:1:pos:R:3 comment="PrSm9Er2, optimized geometry, DFT PBE" volume_a3_per_cell=400 crystal_system=tetragonal pbc="T T T"
Pr 0.000 0.000 0.000
Sm 0.000 2.554 2.602
Sm 0.000 2.554 7.666
Sm 0.000 2.554 12.730
Sm 2.554 0.000 2.602
Sm 2.554 0.000 7.666
Sm 2.554 0.000 12.730
Sm 2.554 2.554 0.000
Sm 2.554 2.554 5.147
Sm 2.554 2.554 10.185
Er 0.000 0.000 5.136
Er 0.000 0.000 10.196

Which one sits at the bottom of the stability order? #1 does.